First-principles (PBE) data for crystalline ZnPS2Cl at its relaxed geometry, as listed in the Alexandria database.

Output
V: 19.65 Å³ per atom
space group: P4/mmm, No. 123
calculated density: 3.3 g cm⁻³
formation energy (no corrections): 29.5 kJ/mol of atoms
calculated total energy: -15.3 eV/cell
M_tot: 0.000 μB/cell

Structure (extended XYZ):
```
5
Lattice="-1.1712 4.4178 -0.2986 -2.2615 -0.3313 3.9691 3.8927 1.1887 2.3172" Properties=species:S:1:pos:R:3 pbc="T T T"
P 0.0000 0.0000 0.0000
Zn 0.2300 2.6376 2.9938
S -1.1308 -0.1656 1.9846
S -0.5856 2.2089 -0.1493
Cl 1.9464 0.5943 1.1586
```

First-principles (PBE) data for crystalline CsNbO3 at its relaxed geometry, as listed in the Alexandria database.

Output
V: 17.55 Å³ per atom
space group: Pm-3m, No. 221
calculated density: 5.2 g cm⁻³
formation energy (no corrections): 104.7 kJ/mol of atoms
calculated total energy: -20.4 eV/cell
M_tot: 2.871 μB/cell

Structure (extended XYZ):
```
5
Lattice="4.4434 0.0000 0.0000 0.0000 4.4434 0.0000 0.0000 0.0000 4.4434" Properties=species:S:1:pos:R:3 pbc="T T T"
Cs 0.0000 0.0000 0.0000
Nb 2.2217 2.2217 2.2217
O 0.0000 2.2217 0.0000
O 0.0000 0.0000 2.2217
O 2.2217 0.0000 0.0000
```

First-principles (PBE) data for crystalline RbHfTl at its relaxed geometry, as listed in the Alexandria database.

Output
formation enthalpy at 0 K: 0.498 eV/atom
V: 37.51 Å³ per atom
space group: Pnma, No. 62
calculated density: 6.9 g cm⁻³
calculated total energy: -47.2 eV/cell
M_tot: 0.000 μB/cell

Structure (extended XYZ):
```
12
Lattice="-7.6710 10.0861 -6.2064 -1.1673 -3.6641 -4.5118 -4.3900 -1.7603 2.5653" Properties=species:S:1:pos:R:3 pbc="T T T"
Tl 0.0000 0.0000 0.0000
Tl -6.6141 2.3309 -4.0765
Tl -6.0305 4.1629 -1.8206
Tl -0.5836 -1.8320 -2.2559
Hf -4.1418 4.1258 -4.2264
Hf -10.7506 6.4496 -8.2986
Hf -9.0865 0.5359 -3.9265
Hf -2.4777 -1.7879 0.1456
Rb -9.2881 5.3407 -3.8817
Rb -7.6854 4.4002 -7.4272
Rb -3.9402 -0.6790 -4.2713
Rb -5.5429 0.2615 -0.7257
```